[1]
Here is Sb5P3 after structural relaxation from Alexandria. Energies are from PBE-GGA.

Summary:
Formation energy (no corrections) = 0.2674 eV per atom
Volume = 28.5 Å³/atom
Energy relative to the lowest polymorph listed for this composition = 0.00 kJ per mole of atoms

Cell: 7.6587 7.6587 9.8054 Å, 95.53 95.53 125.89°
With the nearest neighbours (Å) after each atom.
Positions (direct):
Sb: 0.0000 0.0000 0.0000  2 P 2.88, 1 Sb 3.00
Sb: 0.0248 0.2922 0.3315  2 P 2.58-2.69
Sb: 0.1288 0.5283 0.8517  2 P 2.58-2.59
Sb: 0.2922 0.0248 0.3315  2 P 2.58-2.69
Sb: 0.5283 0.1288 0.8517  2 P 2.58-2.59
Sb: 0.5611 0.5611 0.9018  1 P 2.60
Sb: 0.6031 0.8483 0.2160  1 P 2.67, 1 Sb 2.99
Sb: 0.7086 0.9702 0.6382  3 P 2.59-2.81
Sb: 0.8483 0.6031 0.2160  1 P 2.67, 1 Sb 2.99
Sb: 0.9702 0.7086 0.6382  3 P 2.59-2.81
P: 0.3005 0.8889 0.0245  3 Sb 2.58-2.88
P: 0.3851 0.7799 0.4258  3 Sb 2.58-2.67
P: 0.5690 0.5690 0.6384  3 Sb 2.59-2.60
P: 0.7799 0.3851 0.4258  3 Sb 2.58-2.67
P: 0.8889 0.3005 0.0245  3 Sb 2.58-2.88
P: 0.9685 0.9685 0.4546  4 Sb 2.69-2.81



[2]
Here is SrPaRuN3 after structural relaxation from Alexandria. Energies are from PBE-GGA.

Summary:
Formation energy (no corrections) = -0.8101 eV per atom
Volume = 16.8 Å³/atom

Cell: 7.4707 3.5011 7.8352 Å, 90.00 100.86 90.00°
With the nearest neighbours (Å) after each atom.
Positions (direct):
Sr: 0.1726 0.2500 0.1992  7 N 2.65-2.95
Sr: 0.8274 0.7500 0.8008  7 N 2.65-2.95
Pa: 0.3473 0.7500 0.8334  5 N 2.27-2.33
Pa: 0.6527 0.2500 0.1666  5 N 2.27-2.33
Ru: 0.1015 0.2500 0.5830  4 N 2.07-2.11
Ru: 0.8985 0.7500 0.4170  4 N 2.07-2.11
N: 0.1512 0.2500 0.8578  1 Ru 2.11, 2 Pa 2.31
N: 0.1855 0.7500 0.4801  3 Ru 2.07-2.11
N: 0.4423 0.7500 0.1259  3 Pa 2.27-2.33
N: 0.5577 0.2500 0.8741  3 Pa 2.27-2.33
N: 0.8145 0.2500 0.5199  3 Ru 2.07-2.11
N: 0.8488 0.7500 0.1422  1 Ru 2.11, 2 Pa 2.31



[3]
Here is Nb3TcGe after structural relaxation from Alexandria. Energies are from PBE-GGA.

Summary:
Volume = 20.8 Å³/atom
Energy relative to the lowest polymorph listed for this composition = 15.48 kJ per mole of atoms

Cell: 4.7027 4.7027 4.7027 Å, 90.00 90.00 90.00°
With the nearest neighbours (Å) after each atom.
Positions (direct):
Nb: 0.0000 0.0000 0.5000  2 Ge 2.35
Nb: 0.0000 0.5000 0.0000  2 Ge 2.35
Nb: 0.5000 0.0000 0.0000  2 Ge 2.35
Tc: 0.5000 0.5000 0.5000  12 Nb 3.33
Ge: 0.0000 0.0000 0.0000  6 Nb 2.35



[4]
Here is Nd8ZnPt2 after structural relaxation from Alexandria. Energies are from PBE-GGA.

Summary:
Final energy = -55.44 eV/cell
Volume = 30.6 Å³/atom

Cell: 8.1160 8.1160 5.8457 Å, 98.28 98.28 114.79°
With the nearest neighbours (Å) after each atom.
Positions (direct):
Nd: 0.0000 0.0000 0.0000  1 Zn 3.24, 2 Pt 3.26, 3 Nd 3.43-3.54
Nd: 0.0490 0.2994 0.6037  2 Pt 2.90-3.00
Nd: 0.1480 0.6211 0.1883  2 Pt 3.05-3.07, 1 Zn 3.27
Nd: 0.2994 0.0490 0.6037  2 Pt 2.90-3.00
Nd: 0.4641 0.7148 0.7834  2 Pt 2.93-3.00
Nd: 0.6211 0.1480 0.1883  2 Pt 3.05-3.07, 1 Zn 3.27
Nd: 0.7148 0.4641 0.7834  2 Pt 2.93-3.00
Nd: 0.7582 0.7582 0.3747  1 Zn 3.23, 2 Pt 3.27, 3 Nd 3.43-3.57
Zn: 0.3831 0.3831 0.1088  8 Nd 3.23-3.48
Pt: 0.0786 0.6848 0.6884  6 Nd 2.90-3.07
Pt: 0.6848 0.0786 0.6884  6 Nd 2.90-3.07



[5]
Here is PrGaAgPb after structural relaxation from Alexandria. Energies are from PBE-GGA.

Summary:
Final energy = -15.37 eV/cell
Volume = 24.8 Å³/atom

Cell: 5.1944 5.1944 5.1944 Å, 60.00 60.00 60.00°
With the nearest neighbours (Å) after each atom.
Positions (direct):
Pr: 0.0000 0.0000 0.0000  4 Ag 3.18, 4 Ga 3.18
Ga: 0.7500 0.7500 0.7500  4 Pb 3.18, 4 Pr 3.18
Ag: 0.2500 0.2500 0.2500  4 Pb 3.18, 4 Pr 3.18
Pb: 0.5000 0.5000 0.5000  4 Ga 3.18, 4 Ag 3.18



[6]
Here is CsMgGaTe3 after structural relaxation from Alexandria. Energies are from PBE-GGA.

Summary:
Formation energy (no corrections) = -0.6991 eV per atom
Volume = 39.0 Å³/atom

Cell: 10.1835 4.3094 11.4578 Å, 90.00 111.45 90.00°
With the nearest neighbours (Å) after each atom.
Positions (direct):
Cs: 0.2182 0.2500 0.2308  7 Te 3.78-4.22
Cs: 0.7818 0.7500 0.7692  7 Te 3.78-4.22
Mg: 0.3618 0.7500 0.9049  5 Te 2.84-3.09
Mg: 0.6382 0.2500 0.0951  5 Te 2.84-3.09
Ga: 0.0886 0.2500 0.6270  4 Te 2.57-2.75
Ga: 0.9114 0.7500 0.3730  4 Te 2.57-2.75
Te: 0.1318 0.2500 0.8622  1 Ga 2.57
Te: 0.1876 0.7500 0.5361  3 Ga 2.74-2.75
Te: 0.4912 0.7500 0.1703  3 Mg 2.84-2.93
Te: 0.5088 0.2500 0.8297  3 Mg 2.84-2.93
Te: 0.8124 0.2500 0.4639  3 Ga 2.74-2.75
Te: 0.8682 0.7500 0.1378  1 Ga 2.57



[7]
Here is CaLaAg2Hg after structural relaxation from Alexandria. Energies are from PBE-GGA.

Summary:
Final energy = -11.17 eV/cell
Volume = 36.6 Å³/atom

Cell: 5.5917 5.5917 5.8547 Å, 90.00 90.00 90.00°
With the nearest neighbours (Å) after each atom.
Positions (direct):
Ca: 0.0000 0.0000 0.0000  4 Hg 3.95, 8 Ag 4.05
La: 0.5000 0.5000 0.5000  4 Ag 2.80, 2 Hg 2.93
Ag: 0.0000 0.5000 0.5000  2 La 2.80
Ag: 0.5000 0.0000 0.5000  2 La 2.80
Hg: 0.5000 0.5000 0.0000  2 La 2.93



[8]
Here is Ba3NpB2O8 after structural relaxation from Alexandria. Energies are from PBE-GGA.

Summary:
Formation energy (no corrections) = -2.6826 eV per atom
Volume = 14.5 Å³/atom

Cell: 5.6153 5.6153 7.4369 Å, 90.00 90.00 120.00°
With the nearest neighbours (Å) after each atom.
Positions (direct):
Ba: 0.0000 0.0000 0.0000  12 O 3.00-3.27
Ba: 0.3333 0.6667 0.7154  1 O 2.52
Ba: 0.6667 0.3333 0.2846  1 O 2.52
Np: 0.0000 0.0000 0.5000  6 O 2.24
B: 0.3333 0.6667 0.2449  4 O 1.42-1.55
B: 0.6667 0.3333 0.7551  4 O 1.42-1.55
O: 0.1858 0.3716 0.3228  1 B 1.55
O: 0.1858 0.8142 0.3228  1 B 1.55
O: 0.3333 0.6667 0.0546  1 B 1.42
O: 0.3716 0.1858 0.6772  1 B 1.55
O: 0.6284 0.8142 0.3228  1 B 1.55
O: 0.6667 0.3333 0.9454  1 B 1.42
O: 0.8142 0.1858 0.6772  1 B 1.55
O: 0.8142 0.6284 0.6772  1 B 1.55



[9]
Here is LaMg2Cd after structural relaxation from Alexandria. Energies are from PBE-GGA.

Summary:
Final energy = -9.50 eV/cell
Volume = 26.7 Å³/atom

Cell: 3.3617 5.0638 6.3762 Å, 90.00 99.70 90.00°
With the nearest neighbours (Å) after each atom.
Positions (direct):
La: 0.0000 0.0000 0.0000  2 Cd 3.34, 2 La 3.36, 8 Mg 3.41-3.56
Mg: 0.3671 0.5000 0.7281  2 Cd 2.99, 1 Mg 3.18
Mg: 0.6329 0.5000 0.2719  2 Cd 2.99, 1 Mg 3.18
Cd: 0.5000 0.0000 0.5000  4 Mg 2.99, 2 La 3.34



[10]
Here is CaDy4Pd4 after structural relaxation from Alexandria. Energies are from PBE-GGA.

Summary:
Final energy = -94.46 eV/cell
Volume = 26.5 Å³/atom

Cell: 9.1484 9.1484 5.6931 Å, 90.00 90.00 90.00°
With the nearest neighbours (Å) after each atom.
Positions (direct):
Ca: 0.2500 0.2500 0.2500  4 Pd 2.96
Ca: 0.7500 0.7500 0.7500  4 Pd 2.96
Dy: 0.0793 0.6532 0.1638  5 Pd 2.82-2.93
Dy: 0.1532 0.9207 0.6638  5 Pd 2.82-2.93
Dy: 0.3468 0.5793 0.6638  5 Pd 2.82-2.93
Dy: 0.4207 0.8468 0.1638  5 Pd 2.82-2.93
Dy: 0.5793 0.1532 0.8362  5 Pd 2.82-2.93
Dy: 0.6532 0.4207 0.3362  5 Pd 2.82-2.93
Dy: 0.8468 0.0793 0.3362  5 Pd 2.82-2.93
Dy: 0.9207 0.3468 0.8362  5 Pd 2.82-2.93
Pd: 0.0417 0.6207 0.6629  5 Dy 2.82-2.93, 1 Ca 2.96, 1 Pd 2.98
Pd: 0.1207 0.9583 0.1629  5 Dy 2.82-2.93, 1 Ca 2.96, 1 Pd 2.98
Pd: 0.3793 0.5417 0.1629  5 Dy 2.82-2.93, 1 Ca 2.96, 1 Pd 2.98
Pd: 0.4583 0.8793 0.6629  5 Dy 2.82-2.93, 1 Ca 2.96, 1 Pd 2.98
Pd: 0.5417 0.1207 0.3371  5 Dy 2.82-2.93, 1 Ca 2.96, 1 Pd 2.98
Pd: 0.6207 0.4583 0.8371  5 Dy 2.82-2.93, 1 Ca 2.96, 1 Pd 2.98
Pd: 0.8793 0.0417 0.8371  5 Dy 2.82-2.93, 1 Ca 2.96, 1 Pd 2.98
Pd: 0.9583 0.3793 0.3371  5 Dy 2.82-2.93, 1 Ca 2.96, 1 Pd 2.98



[11]
Here is KLiNpO3 after structural relaxation from Alexandria. Energies are from PBE-GGA.

Summary:
Formation energy (no corrections) = -2.3540 eV per atom
Volume = 16.4 Å³/atom

Cell: 7.5002 3.5244 7.7321 Å, 90.00 106.15 90.00°
With the nearest neighbours (Å) after each atom.
Positions (direct):
K: 0.2467 0.2500 0.2884  5 O 2.83-2.94, 1 Li 3.05
K: 0.7533 0.7500 0.7116  5 O 2.83-2.94, 1 Li 3.05
Li: 0.0952 0.7500 0.5712  4 O 1.92-2.00
Li: 0.9048 0.2500 0.4288  4 O 1.92-2.00
Np: 0.3394 0.2500 0.8258  6 O 2.14-2.34
Np: 0.6606 0.7500 0.1742  6 O 2.14-2.34
O: 0.0523 0.2500 0.6762  3 Li 1.92-2.00, 1 Np 2.14
O: 0.3504 0.7500 0.0280  3 Np 2.29-2.34
O: 0.3646 0.7500 0.6567  1 Li 1.94
O: 0.6354 0.2500 0.3433  1 Li 1.94
O: 0.6496 0.2500 0.9720  3 Np 2.29-2.34
O: 0.9477 0.7500 0.3238  3 Li 1.92-2.00, 1 Np 2.14



[12]
Here is BiOs2CCl after structural relaxation from Alexandria. Energies are from PBE-GGA.

Summary:
Formation energy (no corrections) = 0.9218 eV per atom
Volume = 18.4 Å³/atom

Cell: 3.9743 3.9743 5.8291 Å, 90.00 90.00 90.00°
With the nearest neighbours (Å) after each atom.
Positions (direct):
Bi: 0.0000 0.0000 0.0000  4 Cl 2.81
Os: 0.0000 0.5000 0.5000  2 C 1.99
Os: 0.5000 0.0000 0.5000  2 C 1.99
C: 0.5000 0.5000 0.5000  4 Os 1.99
Cl: 0.5000 0.5000 0.0000  4 Bi 2.81, 2 C 2.91